Entry from Alexandria via LeMat-Bulk: a relaxed structure of Na5Ni2P2C2O14 (GGA-PBEsol).

Summary:
- magnetic moment (μB per cell) = 5.9
- raw formation energy (eV/atom) = -1.745
- raw total energy (eV per atom) = -6.69
- space group = P-1, No. 2
- offset from the most stable computed form (meV per atom) = 2.9

Cell: 5.1041 10.8453 11.0188 Å, 71.69 89.02 89.02°
With the nearest neighbours (Å) after each atom.
Fractional coordinates of all 50 atoms:
Na 0.7673 0.8867 0.8688  6 O 2.29-2.54
Na 0.2394 0.3788 0.8827  6 O 2.27-2.50
Na 0.2504 0.6283 0.6357  4 O 2.22-2.46
Na 0.2435 0.8868 0.3734  5 O 2.27-2.44
Na 0.7670 0.4027 0.6743  6 O 2.39-2.60
Na 0.2330 0.5973 0.3257  6 O 2.39-2.60
Na 0.7496 0.3717 0.3643  4 O 2.22-2.46
Na 0.7565 0.1132 0.6266  5 O 2.27-2.44
Na 0.7606 0.6212 0.1173  6 O 2.27-2.50
Na 0.2327 0.1133 0.1312  6 O 2.29-2.54
Ni 0.2271 0.7045 0.9466  6 O 1.91-2.10
Ni 0.7790 0.7985 0.5499  5 O 1.97-2.04
Ni 0.2210 0.2015 0.4501  5 O 1.97-2.04
Ni 0.7729 0.2955 0.0534  6 O 1.91-2.10
P 0.2927 0.9145 0.6627  4 O 1.54-1.57
P 0.7043 0.5862 0.8357  4 O 1.52-1.57
P 0.2957 0.4138 0.1643  4 O 1.52-1.57
P 0.7073 0.0855 0.3373  4 O 1.54-1.57
C 0.7166 0.1650 0.9143  3 O 1.25-1.32
C 0.7245 0.6583 0.4075  3 O 1.28-1.30
C 0.2834 0.8350 0.0857  3 O 1.25-1.32
C 0.2755 0.3417 0.5925  3 O 1.28-1.30
O 0.2113 0.8685 0.8060  1 P 1.55
O 0.8530 0.6629 0.9064  1 P 1.52
O 0.5960 0.8956 0.6509  1 P 1.57
O 0.4012 0.6030 0.8532  1 P 1.57
O 0.1521 0.8382 0.5868  1 P 1.54
O 0.7783 0.9391 0.3855  1 P 1.55
O 0.7725 0.4381 0.8830  1 P 1.56
O 0.7698 0.6260 0.6900  1 P 1.56
O 0.5106 0.6964 0.4495  1 C 1.29
O 0.5127 0.2053 0.9638  1 C 1.30
O 0.9376 0.1994 0.9539  1 C 1.32
O 0.9445 0.6904 0.4467  1 C 1.30
O 0.2759 0.4108 0.6681  1 C 1.28
O 0.2891 0.8950 0.1658  1 C 1.25
O 0.7109 0.1050 0.8342  1 C 1.25
O 0.7241 0.5892 0.3319  1 C 1.28
O 0.0624 0.8006 0.0461  1 C 1.32
O 0.0555 0.3096 0.5533  1 C 1.30
O 0.4894 0.3036 0.5505  1 C 1.29
O 0.4873 0.7947 0.0362  1 C 1.30
O 0.2217 0.0609 0.6145  1 P 1.55
O 0.2275 0.5619 0.1170  1 P 1.56
O 0.2302 0.3740 0.3100  1 P 1.56
O 0.8479 0.1618 0.4132  1 P 1.54
O 0.5988 0.3970 0.1468  1 P 1.57
O 0.4040 0.1044 0.3491  1 P 1.57
O 0.1470 0.3371 0.0936  1 P 1.52
O 0.7887 0.1315 0.1940  1 P 1.55